# 1
NbTcRh3 | GGA-PBE | optimized geometry

Cell: 6.5719 2.7803 8.5977 Å, 80.66 74.38 89.96°
Closest atoms and distances in Å follow each position.
Positions (direct):
Nb1 0.8901 0.2950 0.3139  9 Rh 2.72-2.86, 2 Nb 2.78, 1 Tc 2.78
Nb2 0.2991 0.0943 0.7161  8 Rh 2.72-2.77, 2 Tc 2.77-2.84, 2 Nb 2.78
Tc1 0.4514 0.2609 0.3783  8 Rh 2.71-2.83, 2 Nb 2.77-2.78, 2 Tc 2.78
Tc2 0.8518 0.0576 0.7847  9 Rh 2.69-2.79, 2 Tc 2.78, 1 Nb 2.84
Rh1 0.4948 0.4932 0.9153  2 Tc 2.69, 8 Rh 2.76-2.80, 2 Nb 2.76
Rh2 0.6911 0.8916 0.1199  3 Tc 2.71-2.75, 7 Rh 2.74-2.80, 2 Nb 2.74
Rh3 0.0935 0.6901 0.5233  4 Tc 2.72-2.73, 4 Rh 2.76-2.79, 4 Nb 2.76-2.86
Rh4 0.2578 0.8595 0.1833  2 Tc 2.73, 2 Nb 2.75, 8 Rh 2.75-2.83
Rh5 0.0544 0.4603 0.9785  7 Rh 2.74-2.83, 3 Nb 2.74-2.75, 2 Tc 2.76
Rh6 0.6599 0.6613 0.5791  4 Nb 2.72-2.73, 4 Rh 2.76-2.78, 4 Tc 2.79-2.83

uncorrected energy	-87.65	eV/cell
formation energy	-1.34	eV/f.u.
calculated volume	149	Å³ per cell
excess energy over the best structure of this formula in the dataset	0	meV/atom

---

# 2
NbTc2Rh2 | GGA-PBE | optimized geometry

Cell: 3.5058 3.5058 7.0751 Å, 75.66 75.66 90.00°
Closest atoms and distances in Å follow each position.
Positions (direct):
Nb1 0.0000 0.0000 0.0000  8 Rh 2.79
Rh1 0.4042 0.4042 0.1915  1 Rh 2.54, 4 Tc 2.69, 4 Nb 2.79
Rh2 0.5958 0.5958 0.8085  1 Rh 2.54, 4 Tc 2.69, 4 Nb 2.79
Tc1 0.7500 0.2500 0.5000  4 Tc 2.48, 4 Rh 2.69
Tc2 0.2500 0.7500 0.5000  4 Tc 2.48, 4 Rh 2.69

uncorrected energy	-44.84	eV/cell
formation energy	0.67	eV/f.u.
calculated volume	81	Å³ per cell
excess energy over the best structure of this formula in the dataset	140	meV/atom

---

# 3
NbTcRh3 | GGA-PBE | optimized geometry

Cell: 4.6096 4.6096 4.6096 Å, 90.00 90.00 90.00°
Closest atoms and distances in Å follow each position.
Positions (direct):
Nb1 0.5000 0.5000 0.5000  12 Rh 3.26
Rh1 0.0000 0.5000 0.0000  2 Tc 2.30
Rh2 0.0000 0.0000 0.5000  2 Tc 2.30
Rh3 0.5000 0.0000 0.0000  2 Tc 2.30
Tc1 0.0000 0.0000 0.0000  6 Rh 2.30

uncorrected energy	-35.99	eV/cell
formation energy	6.50	eV/f.u.
calculated volume	98	Å³ per cell
excess energy over the best structure of this formula in the dataset	1567	meV/atom

---

# 4
Nb4Tc3Rh | GGA-PBE | optimized geometry

Cell: 3.2190 4.5131 8.9923 Å, 90.00 90.00 90.00°
Closest atoms and distances in Å follow each position.
Positions (direct):
Nb1 0.0000 0.0000 0.5000  8 Tc 2.77-2.79
Nb2 0.0000 0.5000 0.7453  6 Tc 2.73-2.77, 2 Rh 2.80
Nb3 0.0000 0.0000 0.0000  4 Tc 2.74, 4 Rh 2.77
Nb4 0.0000 0.5000 0.2547  6 Tc 2.73-2.77, 2 Rh 2.80
Rh1 0.5000 0.5000 0.0000  8 Nb 2.77-2.80
Tc1 0.5000 0.0000 0.2463  8 Nb 2.74-2.79
Tc2 0.5000 0.5000 0.5000  8 Nb 2.73-2.77
Tc3 0.5000 0.0000 0.7537  8 Nb 2.74-2.79

uncorrected energy	-81.15	eV/cell
formation energy	-2.42	eV/f.u.
calculated volume	131	Å³ per cell

---

# 5
Nb2Tc2Rh | GGA-PBE | optimized geometry

Cell: 7.2119 7.2119 3.2085 Å, 90.00 90.00 90.00°
Closest atoms and distances in Å follow each position.
Positions (direct):
Nb1 0.1876 0.6876 0.5000  6 Tc 2.52-2.79
Nb2 0.6876 0.8124 0.5000  6 Tc 2.52-2.79
Nb3 0.8124 0.3124 0.5000  6 Tc 2.52-2.79
Nb4 0.3124 0.1876 0.5000  6 Tc 2.52-2.79
Rh1 0.0000 0.0000 0.0000  4 Tc 2.86, 8 Nb 3.08
Rh2 0.5000 0.5000 0.0000  4 Tc 2.86, 8 Nb 3.08
Tc1 0.3779 0.8779 0.0000  1 Tc 2.49, 2 Nb 2.52
Tc2 0.8779 0.6221 0.0000  1 Tc 2.49, 2 Nb 2.52
Tc3 0.6221 0.1221 0.0000  1 Tc 2.49, 2 Nb 2.52
Tc4 0.1221 0.3779 0.0000  1 Tc 2.49, 2 Nb 2.52

uncorrected energy	-95.43	eV/cell
formation energy	0.51	eV/f.u.
calculated volume	167	Å³ per cell

---

# 6
Nb2TcRh | GGA-PBE | optimized geometry

Cell: 3.2338 3.2338 6.2501 Å, 90.00 90.00 90.00°
Closest atoms and distances in Å follow each position.
Positions (direct):
Nb1 0.0000 0.0000 0.7559  4 Tc 2.75, 4 Rh 2.79, 1 Nb 3.05
Nb2 0.0000 0.0000 0.2441  4 Tc 2.75, 4 Rh 2.79, 1 Nb 3.05
Rh1 0.5000 0.5000 0.5000  8 Nb 2.79, 2 Tc 3.13
Tc1 0.5000 0.5000 0.0000  8 Nb 2.75

uncorrected energy	-38.98	eV/cell
formation energy	-1.12	eV/f.u.
calculated volume	65	Å³ per cell

---

# 7
Nb2TcRh | GGA-PBE | optimized geometry

Cell: 5.7697 5.7697 5.7697 Å, 60.09 152.80 127.54°
Closest atoms and distances in Å follow each position.
Positions (direct):
Nb1 0.0000 0.2523 0.2523  1 Rh 2.47, 1 Tc 2.52, 2 Nb 2.71
Nb2 0.0000 0.7477 0.7477  1 Rh 2.47, 1 Tc 2.52, 2 Nb 2.71
Rh1 0.0000 0.5000 0.5000  2 Nb 2.47, 2 Rh 2.71
Tc1 0.0000 0.0000 0.0000  2 Nb 2.52, 2 Tc 2.71

uncorrected energy	-36.13	eV/cell
formation energy	1.73	eV/f.u.
calculated volume	69	Å³ per cell

---

# 8
Nb2TcRh2 | GGA-PBE | optimized geometry

Cell: 7.2712 7.2712 3.1026 Å, 90.00 90.00 90.00°
Closest atoms and distances in Å follow each position.
Positions (direct):
Nb1 0.1743 0.6743 0.5000  6 Rh 2.55-2.72
Nb2 0.6743 0.8257 0.5000  6 Rh 2.55-2.72
Nb3 0.8257 0.3257 0.5000  6 Rh 2.55-2.72
Nb4 0.3257 0.1743 0.5000  6 Rh 2.55-2.72
Rh1 0.3712 0.8712 0.0000  6 Nb 2.55-2.72, 1 Rh 2.65
Rh2 0.8712 0.6288 0.0000  6 Nb 2.55-2.72, 1 Rh 2.65
Rh3 0.6288 0.1288 0.0000  6 Nb 2.55-2.72, 1 Rh 2.65
Rh4 0.1288 0.3712 0.0000  6 Nb 2.55-2.72, 1 Rh 2.65
Tc1 0.0000 0.0000 0.0000  4 Rh 2.86, 8 Nb 3.10, 2 Tc 3.10
Tc2 0.5000 0.5000 0.0000  4 Rh 2.86, 8 Nb 3.10, 2 Tc 3.10

uncorrected energy	-91.22	eV/cell
formation energy	-0.40	eV/f.u.
calculated volume	164	Å³ per cell

---

# 9
Nb2TcRh | GGA-PBE | optimized geometry

Cell: 3.2861 4.4602 4.4602 Å, 90.00 90.00 90.00°
Closest atoms and distances in Å follow each position.
Positions (direct):
Nb1 0.0000 0.0000 0.5000  4 Tc 2.77, 4 Rh 2.77
Nb2 0.0000 0.5000 0.0000  4 Rh 2.77, 4 Tc 2.77
Rh1 0.5000 0.0000 0.0000  8 Nb 2.77
Tc1 0.5000 0.5000 0.5000  8 Nb 2.77

uncorrected energy	-38.88	eV/cell
formation energy	-1.02	eV/f.u.
calculated volume	65	Å³ per cell

---

# 10
NbTcRh6 | GGA-PBE | optimized geometry

Cell: 5.1639 5.1639 5.1639 Å, 86.33 86.33 86.33°
Closest atoms and distances in Å follow each position.
Positions (direct):
Nb1 0.5000 0.5000 0.5000  6 Rh 2.53
Tc1 0.0000 0.0000 0.0000  6 Rh 2.55
Rh1 0.1631 0.5450 0.1631  1 Nb 2.53, 5 Rh 2.54-2.70, 1 Tc 2.55
Rh2 0.1631 0.1631 0.5450  1 Nb 2.53, 5 Rh 2.54-2.70, 1 Tc 2.55
Rh3 0.8369 0.4550 0.8369  1 Nb 2.53, 5 Rh 2.54-2.70, 1 Tc 2.55
Rh4 0.4550 0.8369 0.8369  1 Nb 2.53, 5 Rh 2.54-2.70, 1 Tc 2.55
Rh5 0.8369 0.8369 0.4550  1 Nb 2.53, 5 Rh 2.54-2.70, 1 Tc 2.55
Rh6 0.5450 0.1631 0.1631  1 Nb 2.53, 5 Rh 2.54-2.70, 1 Tc 2.55

uncorrected energy	-60.26	eV/cell
formation energy	4.28	eV/f.u.
calculated volume	137	Å³ per cell

---

# 11
NbTcRh | GGA-PBE | optimized geometry

Cell: 2.8027 2.8136 13.7289 Å, 90.00 90.00 119.87°
Closest atoms and distances in Å follow each position.
Positions (direct):
Tc1 0.5493 0.0985 0.0000  6 Nb 2.71-3.02, 6 Tc 2.80-2.81
Tc2 0.2890 0.5779 0.5000  6 Rh 2.69, 6 Tc 2.80-2.81
Rh1 0.6231 0.2461 0.3437  3 Tc 2.69, 6 Rh 2.80-2.81, 3 Nb 2.83
Rh2 0.6231 0.2461 0.6563  3 Tc 2.69, 6 Rh 2.80-2.81, 3 Nb 2.83
Nb1 0.2911 0.5822 0.8249  3 Tc 2.71-3.02, 6 Nb 2.80-2.81, 3 Rh 2.83
Nb2 0.2911 0.5822 0.1751  3 Tc 2.71-3.02, 6 Nb 2.80-2.81, 3 Rh 2.83

uncorrected energy	-55.68	eV/cell
formation energy	-0.05	eV/f.u.
calculated volume	94	Å³ per cell

---

# 12
NbTc2Rh2 | GGA-PBE | optimized geometry

Cell: 7.5132 7.5132 2.7544 Å, 90.00 90.00 90.00°
Closest atoms and distances in Å follow each position.
Positions (direct):
Nb1 0.0000 0.0000 0.0000  2 Nb 2.75, 4 Tc 2.99
Nb2 0.5000 0.5000 0.0000  2 Nb 2.75, 4 Tc 2.99
Rh1 0.1741 0.6741 0.5000  6 Tc 2.58-2.64, 2 Rh 2.75
Rh2 0.6741 0.8259 0.5000  6 Tc 2.58-2.64, 2 Rh 2.75
Rh3 0.8259 0.3259 0.5000  6 Tc 2.58-2.64, 2 Rh 2.75
Rh4 0.3259 0.1741 0.5000  6 Tc 2.58-2.64, 2 Rh 2.75
Tc1 0.3794 0.8794 0.0000  3 Tc 2.56-2.75, 6 Rh 2.58-2.64
Tc2 0.8794 0.6206 0.0000  3 Tc 2.56-2.75, 6 Rh 2.58-2.64
Tc3 0.6206 0.1206 0.0000  3 Tc 2.56-2.75, 6 Rh 2.58-2.64
Tc4 0.1206 0.3794 0.0000  3 Tc 2.56-2.75, 6 Rh 2.58-2.64

uncorrected energy	-91.08	eV/cell
formation energy	-0.03	eV/f.u.
calculated volume	155	Å³ per cell
excess energy over the best structure of this formula in the dataset	0	meV/atom

---

Question: Which of these has the lowest formation energy?
Answer: Nb4Tc3Rh